--- a ---
Below is CsK2SbF6 after structural relaxation, with properties calculated at the GGA-PBE level.

Computed properties:
DOS at the Fermi energy = 0.000 states/eV per atom
SG = Fm-3m (225)
calculated density = 3.0 g cm⁻³

Cell lengths 7.0526, 7.0526, 7.0526 Å; angles 60.00, 60.00, 60.00 degrees
Positions (direct):
Cs  0.5000  0.5000  0.5000
K  0.7500  0.7500  0.7500
K  0.2500  0.2500  0.2500
Sb  0.0000  0.0000  0.0000
F  0.2203  0.7797  0.2203
F  0.7797  0.2203  0.2203
F  0.7797  0.2203  0.7797
F  0.2203  0.2203  0.7797
F  0.7797  0.7797  0.2203
F  0.2203  0.7797  0.7797

***

--- b ---
Below is CsK2SbF6 after structural relaxation, with properties calculated at the GGA-PBE level.

Computed properties:
DOS at the Fermi energy = 0.000 states/eV per atom
SG = R3 (146)
calculated density = 3.4 g cm⁻³

Cell lengths 6.8214, 6.8199, 6.7201 Å; angles 59.45, 59.43, 59.96 degrees
Positions (direct):
Cs  0.7980  0.7981  0.6056
K  0.5394  0.5392  0.3822
K  0.0263  0.0263  0.9213
Sb  0.3120  0.3119  0.0640
F  0.5988  0.2418  0.2060
F  0.2415  0.9532  0.2060
F  0.9535  0.5989  0.2065
F  0.3889  0.6315  0.8079
F  0.6317  0.1715  0.8078
F  0.1715  0.3892  0.8081

***

Most stable pick: b. Distance to second place: 13.3 kJ/mol of atoms.

***

--- a ---
Below is Cs2KSeF6 after structural relaxation, with properties calculated at the GGA-PBE level.

Computed properties:
DOS at the Fermi energy = 1.171 states/eV per atom
SG = I4/mmm (139)
calculated density = 3.9 g cm⁻³

Cell lengths 6.8232, 6.8232, 6.6389 Å; angles 59.08, 59.08, 90.00 degrees
Last column: magnetic moment on the atom in μB.
Positions (direct):
Cs  0.7500  0.2500  0.5000  0.00
Cs  0.2500  0.7500  0.5000  0.00
K  0.5000  0.5000  0.0000  0.01
Se  0.0000  0.0000  0.0000  0.51
F  0.2150  0.2150  0.5699  0.01
F  0.7850  0.7850  0.4301  0.01
F  0.2326  0.2326  0.0000  0.06
F  0.7674  0.7674  0.0000  0.06
F  0.7674  0.2326  0.0000  0.06
F  0.2326  0.7674  0.0000  0.06

***

--- b ---
Below is Cs2KSeF6 after structural relaxation, with properties calculated at the GGA-PBE level.

Computed properties:
SG = R-3m (166)
calculated density = 3.7 g cm⁻³

Cell lengths 6.9768, 6.9768, 11.3223 Å; angles 72.06, 72.06, 60.00 degrees
Positions (direct):
Cs  0.8673  0.8673  0.3981
Cs  0.1327  0.1327  0.6019
Cs  0.7364  0.7364  0.7908
Cs  0.2636  0.2636  0.2092
K  0.5937  0.5937  0.2190
K  0.4063  0.4063  0.7810
Se  0.0000  0.0000  0.0000
Se  0.5000  0.5000  0.5000
F  0.8709  0.3636  0.4019
F  0.3636  0.8709  0.4019
F  0.3636  0.3636  0.4019
F  0.1291  0.6364  0.5981
F  0.6364  0.1291  0.5981
F  0.6364  0.6364  0.5981
F  0.7680  0.1693  0.8933
F  0.1693  0.7680  0.8933
F  0.1693  0.1693  0.8933
F  0.2320  0.8307  0.1067
F  0.8307  0.2320  0.1067
F  0.8307  0.8307  0.1067

***

Most stable pick: a. Distance to second place: 0.6 kJ/mol of atoms.

***

--- a ---
Below is CsK2TiF6 after structural relaxation, with properties calculated at the GGA-PBE level.

Computed properties:
DOS at the Fermi energy = 0.671 states/eV per atom
SG = P2_1/c (14)
calculated density = 3.2 g cm⁻³

Cell lengths 6.3159, 6.8251, 9.1165 Å; angles 90.00, 89.21, 90.00 degrees
Last column: magnetic moment on the atom in μB.
Positions (direct):
Cs  0.5000  0.0000  0.0000  0.00
Cs  0.0000  0.5000  0.5000  0.00
K  0.0064  0.9696  0.2724  0.00
K  0.5064  0.5304  0.7724  0.00
K  0.9936  0.0304  0.7276  0.00
K  0.4936  0.4696  0.2276  0.00
Ti  0.5000  0.0000  0.5000  0.92
Ti  0.0000  0.5000  0.0000  0.92
F  0.2723  0.6432  0.0199  0.00
F  0.7723  0.8568  0.5199  0.00
F  0.7277  0.3568  0.9801  0.00
F  0.2277  0.1432  0.4801  0.00
F  0.3651  0.7758  0.3910  0.00
F  0.8651  0.7242  0.8910  0.00
F  0.6349  0.2242  0.6090  0.00
F  0.1349  0.2758  0.1090  0.00
F  0.8861  0.6134  0.1893  0.00
F  0.3861  0.8866  0.6893  0.00
F  0.1139  0.3866  0.8107  0.00
F  0.6139  0.1134  0.3107  0.00

***

--- b ---
Below is CsK2TiF6 after structural relaxation, with properties calculated at the GGA-PBE level.

Computed properties:
DOS at the Fermi energy = 0.833 states/eV per atom
SG = Fm-3m (225)
calculated density = 2.9 g cm⁻³

Cell lengths 6.7260, 6.7260, 6.7260 Å; angles 60.00, 60.00, 60.00 degrees
Last column: magnetic moment on the atom in μB.
Positions (direct):
Cs  0.5000  0.5000  0.5000  0.00
K  0.7500  0.7500  0.7500  0.00
K  0.2500  0.2500  0.2500  0.00
Ti  0.0000  0.0000  0.0000  0.91
F  0.2090  0.7910  0.2090  0.00
F  0.7910  0.2090  0.2090  0.00
F  0.7910  0.2090  0.7910  0.00
F  0.2090  0.2090  0.7910  0.00
F  0.7910  0.7910  0.2090  0.00
F  0.2090  0.7910  0.7910  0.00

***

Most stable pick: a. Distance to second place: 9.2 kJ/mol of atoms.

***

--- a ---
Below is CsK2TlF6 after structural relaxation, with properties calculated at the GGA-PBE level.

Computed properties:
DOS at the Fermi energy = 0.000 states/eV per atom
SG = R3 (146)
calculated density = 3.9 g cm⁻³

Cell lengths 6.6708, 6.6713, 6.9447 Å; angles 61.28, 61.28, 59.99 degrees
Positions (direct):
Cs  0.8042  0.8042  0.5874
K  0.5313  0.5313  0.4062
K  0.0202  0.0202  0.9395
Tl  0.3221  0.3221  0.0336
F  0.5532  0.2355  0.2276
F  0.2355  0.9836  0.2277
F  0.9835  0.5533  0.2276
F  0.3861  0.6684  0.7884
F  0.6685  0.1569  0.7885
F  0.1569  0.3861  0.7887

***

--- b ---
Below is CsK2TlF6 after structural relaxation, with properties calculated at the GGA-PBE level.

Computed properties:
DOS at the Fermi energy = 0.000 states/eV per atom
SG = Fm-3m (225)
calculated density = 3.6 g cm⁻³

Cell lengths 7.0030, 7.0030, 7.0030 Å; angles 60.00, 60.00, 60.00 degrees
Positions (direct):
Cs  0.5000  0.5000  0.5000
K  0.7500  0.7500  0.7500
K  0.2500  0.2500  0.2500
Tl  0.0000  0.0000  0.0000
F  0.2213  0.7787  0.2213
F  0.7787  0.2213  0.2213
F  0.7787  0.2213  0.7787
F  0.2213  0.2213  0.7787
F  0.7787  0.7787  0.2213
F  0.2213  0.7787  0.7787

***

Most stable pick: a. Distance to second place: 11.0 kJ/mol of atoms.

***

--- a ---
Below is CsLiF2 after structural relaxation, with properties calculated at the GGA-PBE level.

Computed properties:
DOS at the Fermi energy = 0.000 states/eV per atom
SG = P4/nmm (129)
calculated density = 4.2 g cm⁻³

Cell lengths 4.1108, 4.1108, 8.3261 Å; angles 90.01, 90.01, 90.00 degrees
Positions (direct):
Cs  0.2502  0.2502  0.8115
Cs  0.7498  0.7498  0.1885
Li  0.2499  0.2499  0.4292
Li  0.7501  0.7501  0.5708
F  0.7502  0.7502  0.8032
F  0.7500  0.2500  0.5000
F  0.2498  0.2498  0.1968
F  0.2500  0.7500  0.5000

***

--- b ---
Below is CsLiF2 after structural relaxation, with properties calculated at the GGA-PBE level.

Computed properties:
DOS at the Fermi energy = 0.000 states/eV per atom
SG = R-3m (166)
calculated density = 3.6 g cm⁻³

Cell lengths 7.5232, 7.5232, 7.5232 Å; angles 27.65, 27.65, 27.65 degrees
Positions (direct):
Cs  0.0000  0.0000  0.0000
Li  0.5000  0.5000  0.5000
F  0.8824  0.8824  0.8824
F  0.1176  0.1176  0.1176

***

Most stable pick: a. Distance to second place: 50.8 kJ/mol of atoms.

***

--- a ---
Below is CsLi3F after structural relaxation, with properties calculated at the GGA-PBE level.

Computed properties:
DOS at the Fermi energy = 1.306 states/eV per atom
SG = Pm-3m (221)
calculated density = 0.9 g cm⁻³

Cell lengths 6.9298, 6.9298, 6.9298 Å; angles 90.00, 90.00, 90.00 degrees
Positions (direct):
Cs  0.0000  0.0000  0.0000
Li  0.0000  0.5000  0.0000
Li  0.0000  0.0000  0.5000
Li  0.5000  0.0000  0.0000
F  0.5000  0.5000  0.5000

***

--- b ---
Below is CsLi3F after structural relaxation, with properties calculated at the GGA-PBE level.

Computed properties:
DOS at the Fermi energy = 0.508 states/eV per atom
SG = Pm-3m (221)
calculated density = 2.1 g cm⁻³

Cell lengths 5.1808, 5.1808, 5.1808 Å; angles 90.00, 90.00, 90.00 degrees
Positions (direct):
Cs  0.5000  0.5000  0.5000
Li  0.0000  0.5000  0.0000
Li  0.0000  0.0000  0.5000
Li  0.5000  0.0000  0.0000
F  0.0000  0.0000  0.0000

***

Most stable pick: b. Distance to second place: 97.3 kJ/mol of atoms.

***

--- a ---
Below is CsLiF3 after structural relaxation, with properties calculated at the GGA-PBE level.

Computed properties:
DOS at the Fermi energy = 1.164 states/eV per atom
SG = Pmmm (47)
calculated density = 4.0 g cm⁻³

Cell lengths 3.5015, 4.0775, 5.7922 Å; angles 90.00, 90.01, 90.00 degrees
Last column: magnetic moment on the atom in μB.
Positions (direct):
Cs  0.0000  0.5000  0.5000  0.02
Li  0.0000  0.0000  0.0000  -0.01
F  0.5000  0.0000  0.2224  0.29
F  0.5000  0.0000  0.7776  0.29
F  0.0000  0.5000  0.0000  0.31

***

--- b ---
Below is CsLiF3 after structural relaxation, with properties calculated at the GGA-PBE level.

Computed properties:
DOS at the Fermi energy = 0.318 states/eV per atom
SG = Pm-3m (221)
calculated density = 2.4 g cm⁻³

Cell lengths 5.1407, 5.1407, 5.1407 Å; angles 90.00, 90.00, 90.00 degrees
Last column: magnetic moment on the atom in μB.
Positions (direct):
Cs  0.0000  0.0000  0.0000  0.25
Li  0.5000  0.5000  0.5000  0.00
F  0.0000  0.5000  0.0000  0.20
F  0.0000  0.0000  0.5000  0.46
F  0.5000  0.0000  0.0000  0.06

***

Most stable pick: a. Distance to second place: 50.5 kJ/mol of atoms.